Li2Mg12Tl5: optimized geometry, PBE-GGA.

Cell lengths 16.3674, 6.1905, 9.8480 Å; angles 90.00, 102.57, 90.00 degrees
Space group C2/m (No. 12)
Inequivalent atoms, fractional coordinates:
Li1 0.0000 0.2408 0.0000 (multiplicity 4)
Mg1 0.0244 0.0000 0.3474 (multiplicity 4)
Mg2 0.1281 0.5000 0.3335 (multiplicity 4)
Mg3 0.1446 0.2468 0.6331 (multiplicity 8)
Mg4 0.2000 0.2581 0.1171 (multiplicity 8)
Tl1 0.0000 0.5000 0.5000 (multiplicity 2)
Tl2 0.1244 0.0000 0.8789 (multiplicity 4)
Tl3 0.2053 0.0000 0.3958 (multiplicity 4)

Output
The value obtained for the formation energy is 1.040 kcal/mol of atoms.